Record 1
DFT (PBE) results for a relaxed LiMg30TiO32 crystal.

Values from the calculation:
energy relative to the elements, uncorrected: -2.686 eV/atom

a = 8.5119 Å, b = 8.5119 Å, c = 8.5196 Å
α = 90.00°, β = 90.00°, γ = 90.00°
Last column: nearest neighbours and their distance in Å.
Atoms (fractional coordinates):
Li (0.0000, 0.0000, 0.0000)  6 O 2.18-2.20
Mg (0.0000, 0.0000, 0.5000)  6 O 2.08-2.14
Mg (0.0000, 0.2464, 0.2477)  6 O 2.10-2.16
Mg (0.0000, 0.2464, 0.7523)  6 O 2.10-2.16
Mg (0.0000, 0.5000, 0.0000)  6 O 2.06-2.19
Mg (0.0000, 0.5000, 0.5000)  6 O 2.11-2.14
Mg (0.0000, 0.7536, 0.2477)  6 O 2.10-2.16
Mg (0.0000, 0.7536, 0.7523)  6 O 2.10-2.16
Mg (0.2432, 0.2432, 0.0000)  6 O 2.07-2.19
Mg (0.2432, 0.7568, 0.0000)  6 O 2.07-2.19
Mg (0.2464, 0.0000, 0.2477)  6 O 2.10-2.16
Mg (0.2464, 0.0000, 0.7523)  6 O 2.10-2.16
Mg (0.2473, 0.5000, 0.2521)  6 O 2.11-2.15
Mg (0.2473, 0.5000, 0.7479)  6 O 2.11-2.15
Mg (0.2487, 0.2487, 0.5000)  6 O 2.12-2.14
Mg (0.2487, 0.7513, 0.5000)  6 O 2.12-2.14
Mg (0.5000, 0.0000, 0.0000)  6 O 2.06-2.19
Mg (0.5000, 0.0000, 0.5000)  6 O 2.11-2.14
Mg (0.5000, 0.2473, 0.2521)  6 O 2.11-2.15
Mg (0.5000, 0.2473, 0.7479)  6 O 2.11-2.15
Mg (0.5000, 0.5000, 0.5000)  6 O 2.12-2.14
Mg (0.5000, 0.7527, 0.2521)  6 O 2.11-2.15
Mg (0.5000, 0.7527, 0.7479)  6 O 2.11-2.15
Mg (0.7513, 0.2487, 0.5000)  6 O 2.12-2.14
Mg (0.7513, 0.7513, 0.5000)  6 O 2.12-2.14
Mg (0.7527, 0.5000, 0.2521)  6 O 2.11-2.15
Mg (0.7527, 0.5000, 0.7479)  6 O 2.11-2.15
Mg (0.7536, 0.0000, 0.2477)  6 O 2.10-2.16
Mg (0.7536, 0.0000, 0.7523)  6 O 2.10-2.16
Mg (0.7568, 0.2432, 0.0000)  6 O 2.07-2.19
Mg (0.7568, 0.7568, 0.0000)  6 O 2.07-2.19
Ti (0.5000, 0.5000, 0.0000)  6 O 2.07-2.12
O (0.0000, 0.0000, 0.2560)  5 Mg 2.08-2.10, 1 Li 2.18
O (0.0000, 0.0000, 0.7440)  5 Mg 2.08-2.10, 1 Li 2.18
O (0.0000, 0.2517, 0.5000)  6 Mg 2.11-2.15
O (0.0000, 0.2582, 0.0000)  5 Mg 2.06-2.11, 1 Li 2.20
O (0.0000, 0.5000, 0.2499)  6 Mg 2.11-2.16
O (0.0000, 0.5000, 0.7501)  6 Mg 2.11-2.16
O (0.0000, 0.7418, 0.0000)  5 Mg 2.06-2.11, 1 Li 2.20
O (0.0000, 0.7483, 0.5000)  6 Mg 2.11-2.15
O (0.2509, 0.2509, 0.2493)  6 Mg 2.12-2.14
O (0.2509, 0.2509, 0.7507)  6 Mg 2.12-2.14
O (0.2512, 0.5000, 0.5000)  6 Mg 2.11-2.14
O (0.2509, 0.7491, 0.2493)  6 Mg 2.12-2.14
O (0.2509, 0.7491, 0.7507)  6 Mg 2.12-2.14
O (0.2517, 0.0000, 0.5000)  6 Mg 2.11-2.15
O (0.2568, 0.5000, 0.0000)  1 Ti 2.07, 5 Mg 2.15-2.19
O (0.2582, 0.0000, 0.0000)  5 Mg 2.06-2.11, 1 Li 2.20
O (0.5000, 0.0000, 0.2499)  6 Mg 2.11-2.16
O (0.5000, 0.0000, 0.7501)  6 Mg 2.11-2.16
O (0.5000, 0.2512, 0.5000)  6 Mg 2.11-2.14
O (0.5000, 0.2568, 0.0000)  1 Ti 2.07, 5 Mg 2.15-2.19
O (0.5000, 0.5000, 0.2490)  1 Ti 2.12, 5 Mg 2.14-2.15
O (0.5000, 0.5000, 0.7510)  1 Ti 2.12, 5 Mg 2.14-2.15
O (0.5000, 0.7432, 0.0000)  1 Ti 2.07, 5 Mg 2.15-2.19
O (0.5000, 0.7488, 0.5000)  6 Mg 2.11-2.14
O (0.7418, 0.0000, 0.0000)  5 Mg 2.06-2.11, 1 Li 2.20
O (0.7432, 0.5000, 0.0000)  1 Ti 2.07, 5 Mg 2.15-2.19
O (0.7483, 0.0000, 0.5000)  6 Mg 2.11-2.15
O (0.7491, 0.2509, 0.2493)  6 Mg 2.12-2.14
O (0.7491, 0.2509, 0.7507)  6 Mg 2.12-2.14
O (0.7488, 0.5000, 0.5000)  6 Mg 2.11-2.14
O (0.7491, 0.7491, 0.2493)  6 Mg 2.12-2.14
O (0.7491, 0.7491, 0.7507)  6 Mg 2.12-2.14

---

Record 2
DFT (PBE) results for a relaxed Li2MgTlO crystal.

Values from the calculation:
energy relative to the elements, uncorrected: -0.991 eV/atom

a = 4.3635 Å, b = 4.3635 Å, c = 4.0428 Å
α = 90.00°, β = 90.00°, γ = 90.00°
Last column: nearest neighbours and their distance in Å.
Atoms (fractional coordinates):
Li (0.0000, 0.5000, 0.0000)  2 O 2.18
Li (0.5000, 0.0000, 0.0000)  2 O 2.18
Mg (0.0000, 0.0000, 0.5000)  2 O 2.02
Tl (0.5000, 0.5000, 0.5000)  8 Li 2.97, 4 Mg 3.09
O (0.0000, 0.0000, 0.0000)  2 Mg 2.02, 4 Li 2.18

---

Record 3
DFT (PBE) results for a relaxed LiMgUO5 crystal.

Values from the calculation:
energy relative to the elements, uncorrected: -2.441 eV/atom

a = 5.5727 Å, b = 5.5727 Å, c = 7.7609 Å
α = 103.14°, β = 103.14°, γ = 109.18°
Last column: nearest neighbours and their distance in Å.
Atoms (fractional coordinates):
Li (0.0588, 0.9412, 0.7500)  4 O 1.90-1.92
Li (0.9412, 0.0588, 0.2500)  4 O 1.90-1.92
Mg (0.3957, 0.6043, 0.7500)  5 O 2.05-2.21
Mg (0.6043, 0.3957, 0.2500)  5 O 2.05-2.21
U (0.0000, 0.5000, 0.0000)  4 O 1.97-2.00
U (0.5000, 0.0000, 0.5000)  4 O 1.97-2.00
O (0.1752, 0.3215, 0.8458)  1 Li 1.90, 1 U 2.00, 1 Mg 2.05
O (0.2012, 0.7891, 0.5703)  1 Li 1.92, 1 U 1.97
O (0.2109, 0.7988, 0.9297)  1 Li 1.92, 1 U 1.97
O (0.3215, 0.1752, 0.3458)  1 Li 1.90, 1 U 2.00, 1 Mg 2.05
O (0.3708, 0.6292, 0.2500)  1 Mg 2.12, 2 U 2.26
O (0.6292, 0.3708, 0.7500)  1 Mg 2.12, 2 U 2.26
O (0.6785, 0.8248, 0.6542)  1 Li 1.90, 1 U 2.00, 1 Mg 2.05
O (0.7891, 0.2012, 0.0703)  1 Li 1.92, 1 U 1.97
O (0.7988, 0.2109, 0.4297)  1 Li 1.92, 1 U 1.97
O (0.8248, 0.6785, 0.1542)  1 Li 1.90, 1 U 2.00, 1 Mg 2.05

---

Record 4
DFT (PBE) results for a relaxed Li2MgUO6 crystal.

Values from the calculation:
energy relative to the elements, uncorrected: -2.242 eV/atom

a = 5.7187 Å, b = 5.7187 Å, c = 5.7187 Å
α = 54.46°, β = 54.46°, γ = 54.46°
Last column: nearest neighbours and their distance in Å.
Atoms (fractional coordinates):
Li (0.2101, 0.2101, 0.2101)  3 O 2.00
Li (0.7899, 0.7899, 0.7899)  3 O 2.00
Mg (0.5000, 0.5000, 0.5000)  6 O 2.09
U (0.0000, 0.0000, 0.0000)  6 O 2.03
O (0.1128, 0.7733, 0.3758)  1 Li 2.00, 1 U 2.03, 1 Mg 2.09
O (0.2267, 0.6242, 0.8872)  1 Li 2.00, 1 U 2.03, 1 Mg 2.09
O (0.3758, 0.1128, 0.7733)  1 Li 2.00, 1 U 2.03, 1 Mg 2.09
O (0.6242, 0.8872, 0.2268)  1 Li 2.00, 1 U 2.03, 1 Mg 2.09
O (0.7733, 0.3758, 0.1128)  1 Li 2.00, 1 U 2.03, 1 Mg 2.09
O (0.8872, 0.2268, 0.6242)  1 Li 2.00, 1 U 2.03, 1 Mg 2.09

---

Record 5
DFT (PBE) results for a relaxed LiMg2UO6 crystal.

Values from the calculation:
energy relative to the elements, uncorrected: -2.514 eV/atom

a = 5.7193 Å, b = 5.7193 Å, c = 5.7193 Å
α = 55.81°, β = 55.81°, γ = 55.81°
Last column: nearest neighbours and their distance in Å.
Atoms (fractional coordinates):
Li (0.0000, 0.0000, 0.0000)  6 O 2.12-2.37
Mg (0.2792, 0.2792, 0.2792)  6 O 2.06-2.26
Mg (0.7883, 0.7883, 0.7883)  6 O 2.07-2.17
U (0.4833, 0.4833, 0.4833)  6 O 2.06-2.08
O (0.0908, 0.6800, 0.4035)  1 U 2.06, 2 Mg 2.07-2.26, 1 Li 2.12
O (0.1973, 0.5726, 0.8818)  2 Mg 2.06-2.17, 1 U 2.08
O (0.4035, 0.0908, 0.6800)  1 U 2.06, 2 Mg 2.07-2.26, 1 Li 2.12
O (0.5726, 0.8818, 0.1973)  2 Mg 2.06-2.17, 1 U 2.08
O (0.6800, 0.4035, 0.0908)  1 U 2.06, 2 Mg 2.07-2.26, 1 Li 2.12
O (0.8818, 0.1973, 0.5726)  2 Mg 2.06-2.17, 1 U 2.08

---

Record 6
DFT (PBE) results for a relaxed LiMgU2O8 crystal.

Values from the calculation:
energy relative to the elements, uncorrected: -2.647 eV/atom

a = 6.3336 Å, b = 6.3336 Å, c = 6.3336 Å
α = 131.61°, β = 131.61°, γ = 70.84°
Last column: nearest neighbours and their distance in Å.
Atoms (fractional coordinates):
Li (0.0000, 0.0000, 0.0000)  4 O 2.07
Mg (0.7500, 0.2500, 0.5000)  4 O 2.02
U (0.2500, 0.7500, 0.5000)  8 O 2.19-2.22
U (0.5000, 0.5000, 0.0000)  8 O 2.17-2.24
O (0.1170, 0.1432, 0.5657)  1 Mg 2.02, 2 U 2.19-2.24
O (0.1770, 0.6923, 0.0679)  1 Li 2.07, 2 U 2.17-2.22
O (0.3077, 0.3756, 0.4847)  1 Li 2.07, 2 U 2.17-2.22
O (0.4487, 0.8830, 0.0261)  1 Mg 2.02, 2 U 2.19-2.24
O (0.5775, 0.5513, 0.4343)  1 Mg 2.02, 2 U 2.19-2.24
O (0.6244, 0.1091, 0.9321)  1 Li 2.07, 2 U 2.17-2.22
O (0.8568, 0.4225, 0.9739)  1 Mg 2.02, 2 U 2.19-2.24
O (0.8909, 0.8230, 0.5153)  1 Li 2.07, 2 U 2.17-2.22